# NpNiMo | the Open Quantum Materials Database | GGA-PBE | relaxed
# DFT formation energy: 0.723 eV/atom
# energy above the most stable polymorph in this dataset: 0 meV per atom
data_NpNiMo
_chemical_formula_sum 'Np4 Ni4 Mo4'
_cell_length_a 6.005
_cell_length_b 6.005
_cell_length_c 6.005
_cell_angle_alpha 90.00
_cell_angle_beta 90.00
_cell_angle_gamma 90.00
_space_group_name_H-M_alt 'F -4 3 m'
_space_group_IT_number 216
_space_group_name_Hall 'F -4 2 3'
loop_
_atom_site_label
_atom_site_fract_x
_atom_site_fract_y
_atom_site_fract_z
Np1 0.000 0.000 0.000
Ni1 0.250 0.250 0.250
Mo1 0.000 0.000 0.500

=====

# NpNiMo | the Open Quantum Materials Database | GGA-PBE | relaxed
# DFT formation energy: 0.894 eV/atom
# energy above the most stable polymorph in this dataset: 171 meV per atom
data_NpNiMo
_chemical_formula_sum 'Np4 Ni4 Mo4'
_cell_length_a 6.008
_cell_length_b 6.008
_cell_length_c 6.008
_cell_angle_alpha 90.00
_cell_angle_beta 90.00
_cell_angle_gamma 90.00
_space_group_name_H-M_alt 'F -4 3 m'
_space_group_IT_number 216
_space_group_name_Hall 'F -4 2 3'
loop_
_atom_site_label
_atom_site_fract_x
_atom_site_fract_y
_atom_site_fract_z
Np1 0.000 0.000 0.000
Ni1 0.250 0.250 0.250
Mo1 0.250 0.250 0.750